[1]
A plane-wave DFT calculation with PBE was carried out for a geometry-optimized GdTm2Tl structure.

- total moment (μB per atom) = 2.030
- SG = P4/mmm, No. 123
- calculated total energy (eV/atom) = -6.532

Cell: 4.781 4.840 4.840 Å, 90.00 90.00 90.00°
Last column: magnetic moment on the atom in μB.
Positions (direct):
Tm  0.000  0.000  0.500  -0.25
Tl  0.500  0.000  0.000  0.03
Tm  0.000  0.500  0.000  -0.25
Gd  0.500  0.500  0.500  -7.31



[2]
A plane-wave DFT calculation with PBE was carried out for a geometry-optimized PaH3Ru structure.

- total moment (μB per atom) = 0.000
- SG = Pm-3m, No. 221
- calculated total energy (eV/atom) = -6.009

Cell: 3.658 3.658 3.658 Å, 90.00 90.00 90.00°
Positions (direct):
Ru  0.000  0.000  0.000
H  0.000  0.500  0.000
H  0.500  0.000  0.000
Pa  0.500  0.500  0.500
H  0.000  0.000  0.500



[3]
A plane-wave DFT calculation with PBE was carried out for a geometry-optimized TbPS4 structure.

- total moment (μB per atom) = 0.000
- SG = P2_1/c, No. 14
- calculated total energy (eV/atom) = -4.973
- formation energy without anion corrections (eV per atom) = -0.5483

Cell: 3.950 6.420 11.058 Å, 90.81 90.00 90.00°
Positions (direct):
Tb  0.500  0.500  0.000
P  0.500  0.500  0.500
S  0.799  0.648  0.367
S  0.201  0.352  0.633
S  0.494  0.780  0.617
Tb  0.000  0.000  0.500
S  0.006  0.280  0.117
P  0.000  0.000  0.000
S  0.701  0.148  0.867
S  0.299  0.852  0.133
S  0.994  0.720  0.883
S  0.506  0.220  0.383



[4]
A plane-wave DFT calculation with PBE was carried out for a geometry-optimized DyCdAgCl6 structure.

- total moment (μB per atom) = 0.000
- SG = P-31c, No. 163
- calculated total energy (eV/atom) = -3.615
- formation energy without anion corrections (eV per atom) = -1.4542

Cell: 6.760 6.760 12.281 Å, 90.00 90.00 120.00°
Positions (direct):
Dy  0.667  0.333  0.250
Cl  0.348  0.001  0.128
Ag  0.000  0.000  0.500
Cl  0.001  0.348  0.628
Cl  0.999  0.347  0.128
Cl  0.653  0.652  0.128
Cd  0.667  0.333  0.750
Cl  0.999  0.652  0.372
Cl  0.001  0.653  0.872
Cl  0.652  0.653  0.628
Ag  0.000  0.000  0.000
Cl  0.347  0.999  0.628
Cl  0.653  0.001  0.372
Dy  0.333  0.667  0.750
Cl  0.652  0.999  0.872
Cd  0.333  0.667  0.250
Cl  0.348  0.347  0.372
Cl  0.347  0.348  0.872



[5]
A plane-wave DFT calculation with PBE was carried out for a geometry-optimized Ca2Ac8Pm structure.

- total moment (μB per atom) = 0.000
- SG = Cmmm, No. 65
- calculated total energy (eV/atom) = -3.625

Cell: 5.985 9.233 9.233 Å, 105.30 90.01 90.01°
Positions (direct):
Ca  0.000  0.382  0.618
Ac  0.000  0.700  0.965
Ac  0.500  0.249  0.751
Ac  0.500  0.326  0.326
Ca  0.000  0.618  0.382
Ac  0.500  0.751  0.249
Ac  0.000  0.965  0.700
Pm  0.500  0.000  0.000
Ac  0.000  0.300  0.035
Ac  0.000  0.035  0.300
Ac  0.500  0.674  0.674



[6]
A plane-wave DFT calculation with PBE was carried out for a geometry-optimized Cu2Mo4Br structure.

- total moment (μB per atom) = 0.309
- SG = I4/mmm, No. 139
- calculated total energy (eV/atom) = -5.940
- formation energy without anion corrections (eV per atom) = 1.6590

Cell: 4.622 4.622 6.918 Å, 70.48 70.48 90.00°
Last column: magnetic moment on the atom in μB.
Positions (direct):
Mo  0.195  0.195  0.610  1.30
Mo  0.000  0.500  0.000  -0.40
Mo  0.805  0.805  0.390  1.30
Br  0.000  0.000  0.000  0.00
Mo  0.500  0.000  0.000  -0.40
Cu  0.394  0.394  0.212  0.02
Cu  0.606  0.606  0.788  0.02



[7]
A plane-wave DFT calculation with PBE was carried out for a geometry-optimized MnCr2Re structure.

- total moment (μB per atom) = 0.000
- SG = R-3m, No. 166
- calculated total energy (eV/atom) = -9.943

Cell: 8.516 8.516 8.516 Å, 17.80 17.80 17.80°
Positions (direct):
Re  0.750  0.750  0.750
Cr  0.995  0.995  0.995
Mn  0.250  0.250  0.250
Cr  0.505  0.505  0.505



[8]
A plane-wave DFT calculation with PBE was carried out for a geometry-optimized Mg2RuBr structure.

- total moment (μB per atom) = 0.082
- SG = R-3m, No. 166
- calculated total energy (eV/atom) = -3.676
- formation energy without anion corrections (eV per atom) = -0.1414

Cell: 8.273 8.273 8.273 Å, 23.41 23.41 23.41°
Last column: magnetic moment on the atom in μB.
Positions (direct):
Mg  0.508  0.508  0.508  0.00
Br  0.750  0.750  0.750  0.00
Mg  0.992  0.992  0.992  0.00
Ru  0.250  0.250  0.250  0.34